Entry 1:
Crystalline HgGeSbO6 at its relaxed geometry. Source: Alexandria via LeMat-Bulk, functional PBE.

abc: 5.2402 5.2402 9.5985
angles: 90.00 90.00 120.00
With the nearest neighbours (Å) after each atom.
Element x y z (fractional)
Hg (0.0000, 0.0000, 0.0000)  6 O 2.36
Hg (0.0000, 0.0000, 0.5000)  6 O 2.36
Ge (0.3333, 0.6667, 0.2500)  6 O 1.92
Ge (0.6667, 0.3333, 0.7500)  6 O 1.92
Sb (0.3333, 0.6667, 0.7500)  6 O 2.01
Sb (0.6667, 0.3333, 0.2500)  6 O 2.01
O (0.0125, 0.3767, 0.1400)  1 Ge 1.92, 1 Sb 2.01
O (0.0125, 0.6358, 0.3600)  1 Ge 1.92, 1 Sb 2.01
O (0.3642, 0.3767, 0.3600)  1 Ge 1.92, 1 Sb 2.01
O (0.3642, 0.9875, 0.1400)  1 Ge 1.92, 1 Sb 2.01
O (0.3767, 0.0125, 0.6400)  1 Ge 1.92, 1 Sb 2.01
O (0.3767, 0.3642, 0.8600)  1 Ge 1.92, 1 Sb 2.01
O (0.6233, 0.6358, 0.1400)  1 Ge 1.92, 1 Sb 2.01
O (0.6233, 0.9875, 0.3600)  1 Ge 1.92, 1 Sb 2.01
O (0.6358, 0.0125, 0.8600)  1 Ge 1.92, 1 Sb 2.01
O (0.6358, 0.6233, 0.6400)  1 Ge 1.92, 1 Sb 2.01
O (0.9875, 0.3642, 0.6400)  1 Ge 1.92, 1 Sb 2.01
O (0.9875, 0.6233, 0.8600)  1 Ge 1.92, 1 Sb 2.01

Results
Formation energy (no corrections) in eV per atom: -1.028
Spin magnetization in μB/cell: 1.64
Theoretical density in g/cm³: 7.14

Entry 2:
Crystalline HgGeSeO6 at its relaxed geometry. Source: Alexandria via LeMat-Bulk, functional PBE.

abc: 4.9842 4.9842 10.1581
angles: 90.00 90.00 120.00
With the nearest neighbours (Å) after each atom.
Element x y z (fractional)
Hg (0.0000, 0.0000, 0.0000)  6 O 2.41
Hg (0.0000, 0.0000, 0.5000)  6 O 2.41
Ge (0.3333, 0.6667, 0.2500)  6 O 1.92
Ge (0.6667, 0.3333, 0.7500)  6 O 1.92
Se (0.3333, 0.6667, 0.7500)  6 O 1.84
Se (0.6667, 0.3333, 0.2500)  6 O 1.84
O (0.0119, 0.3851, 0.6470)  1 Se 1.84, 1 Ge 1.92
O (0.0119, 0.6269, 0.8530)  1 Se 1.84, 1 Ge 1.92
O (0.3731, 0.3851, 0.8530)  1 Se 1.84, 1 Ge 1.92
O (0.3731, 0.9881, 0.6470)  1 Se 1.84, 1 Ge 1.92
O (0.3851, 0.0119, 0.1470)  1 Se 1.84, 1 Ge 1.92
O (0.3851, 0.3731, 0.3530)  1 Se 1.84, 1 Ge 1.92
O (0.6149, 0.6269, 0.6470)  1 Se 1.84, 1 Ge 1.92
O (0.6149, 0.9881, 0.8530)  1 Se 1.84, 1 Ge 1.92
O (0.6269, 0.0119, 0.3530)  1 Se 1.84, 1 Ge 1.92
O (0.6269, 0.6149, 0.1470)  1 Se 1.84, 1 Ge 1.92
O (0.9881, 0.3731, 0.1470)  1 Se 1.84, 1 Ge 1.92
O (0.9881, 0.6149, 0.3530)  1 Se 1.84, 1 Ge 1.92

Results
Formation energy (no corrections) in eV per atom: -0.822
Spin magnetization in μB/cell: 0.00
Theoretical density in g/cm³: 6.81

Entry 3:
Crystalline HgGeSe2O8 at its relaxed geometry. Source: Alexandria via LeMat-Bulk, functional PBE.

abc: 6.1237 6.1237 5.6624
angles: 105.54 105.54 61.68
With the nearest neighbours (Å) after each atom.
Element x y z (fractional)
Hg (0.0000, 0.0000, 0.0000)  2 O 2.19
Ge (0.5000, 0.5000, 0.5000)  6 O 2.38-2.40
Se (0.1958, 0.1958, 0.6463)  4 O 1.67-1.69
Se (0.8042, 0.8042, 0.3537)  4 O 1.67-1.69
O (0.0894, 0.6662, 0.2634)  1 Se 1.69
O (0.1727, 0.1727, 0.3372)  1 Se 1.69
O (0.3338, 0.9106, 0.7366)  1 Se 1.69
O (0.3626, 0.3626, 0.7673)  1 Se 1.67
O (0.6374, 0.6374, 0.2327)  1 Se 1.67
O (0.6662, 0.0894, 0.2634)  1 Se 1.69
O (0.8273, 0.8273, 0.6628)  1 Se 1.69
O (0.9106, 0.3338, 0.7366)  1 Se 1.69

Results
Formation energy (no corrections) in eV per atom: -0.562
Spin magnetization in μB/cell: 0.00
Theoretical density in g/cm³: 5.23

Entry 4:
Crystalline Sm4HgGeO at its relaxed geometry. Source: Alexandria via LeMat-Bulk, functional PBE.

abc: 8.6990 8.6990 6.6423
angles: 90.00 90.00 135.16
With the nearest neighbours (Å) after each atom.
Element x y z (fractional)
Sm (0.0000, 0.5000, 0.0000)  2 O 2.35
Sm (0.0000, 0.5000, 0.5000)  2 O 2.35
Sm (0.0721, 0.9279, 0.7500)  1 O 2.91, 1 Ge 3.00
Sm (0.4245, 0.5755, 0.7500)  1 O 2.76, 1 Hg 3.03
Sm (0.5000, 0.0000, 0.0000)  2 O 2.35
Sm (0.5000, 0.0000, 0.5000)  2 O 2.35
Sm (0.5755, 0.4245, 0.2500)  1 O 2.76, 1 Hg 3.03
Sm (0.9279, 0.0721, 0.2500)  1 O 2.91, 1 Ge 3.00
Hg (0.3869, 0.6131, 0.2500)  9 Sm 3.03-3.38
Hg (0.6131, 0.3869, 0.7500)  9 Sm 3.03-3.38
Ge (0.1147, 0.8853, 0.2500)  5 Sm 3.00-3.20
Ge (0.8853, 0.1147, 0.7500)  5 Sm 3.00-3.20
O (0.2532, 0.7468, 0.7500)  4 Sm 2.35
O (0.7468, 0.2532, 0.2500)  4 Sm 2.35

Results
Formation energy (no corrections) in eV per atom: -1.171
Spin magnetization in μB/cell: 0.00
Theoretical density in g/cm³: 8.35

Entry 5:
Crystalline SnHgGeO5 at its relaxed geometry. Source: Alexandria via LeMat-Bulk, functional PBE.

abc: 5.7872 5.7872 7.6714
angles: 106.32 106.32 101.71
With the nearest neighbours (Å) after each atom.
Element x y z (fractional)
Sn (0.0000, 0.0000, 0.0000)  6 O 2.06-2.11
Sn (0.0000, 0.0000, 0.5000)  6 O 2.06-2.11
Hg (0.3264, 0.6736, 0.7500)  3 O 2.17-2.37
Hg (0.6736, 0.3264, 0.2500)  3 O 2.17-2.37
Ge (0.3243, 0.6757, 0.2500)  4 O 1.77-1.78
Ge (0.6757, 0.3243, 0.7500)  4 O 1.77-1.78
O (0.0845, 0.9155, 0.7500)  2 Sn 2.06, 1 Hg 2.17
O (0.1281, 0.6990, 0.3897)  1 Ge 1.77
O (0.2703, 0.3582, 0.0988)  1 Ge 1.78
O (0.3010, 0.8719, 0.1103)  1 Ge 1.77
O (0.3582, 0.2703, 0.5988)  1 Ge 1.78
O (0.6418, 0.7297, 0.4012)  1 Ge 1.78
O (0.6990, 0.1281, 0.8897)  1 Ge 1.77
O (0.7297, 0.6418, 0.9012)  1 Ge 1.78
O (0.8719, 0.3010, 0.6103)  1 Ge 1.77
O (0.9155, 0.0845, 0.2500)  2 Sn 2.06, 1 Hg 2.17

Results
Formation energy (no corrections) in eV per atom: -1.299
Spin magnetization in μB/cell: 0.00
Theoretical density in g/cm³: 6.96

Entry 6:
Crystalline SrHgGe2O6 at its relaxed geometry. Source: Alexandria via LeMat-Bulk, functional PBE.

abc: 7.6364 7.6364 5.7225
angles: 102.35 102.35 89.17
With the nearest neighbours (Å) after each atom.
Element x y z (fractional)
Sr (0.1089, 0.8911, 0.7500)  6 O 2.47-2.57
Sr (0.8911, 0.1089, 0.2500)  6 O 2.47-2.57
Hg (0.2910, 0.7090, 0.2500)  2 O 2.09
Hg (0.7090, 0.2910, 0.7500)  2 O 2.09
Ge (0.2225, 0.3731, 0.7804)  4 O 1.74-1.81
Ge (0.3731, 0.2225, 0.2804)  4 O 1.74-1.81
Ge (0.6269, 0.7775, 0.7196)  4 O 1.74-1.81
Ge (0.7775, 0.6269, 0.2196)  4 O 1.74-1.81
O (0.0512, 0.2099, 0.6802)  1 Ge 1.74
O (0.1603, 0.5964, 0.8905)  1 Ge 1.78
O (0.2099, 0.0512, 0.1802)  1 Ge 1.74
O (0.3226, 0.3935, 0.5268)  2 Ge 1.81
O (0.3935, 0.3226, 0.0268)  2 Ge 1.81
O (0.4036, 0.8397, 0.6095)  1 Ge 1.78
O (0.5964, 0.1603, 0.3905)  1 Ge 1.78
O (0.6065, 0.6774, 0.9732)  2 Ge 1.81
O (0.6774, 0.6065, 0.4732)  2 Ge 1.81
O (0.7901, 0.9488, 0.8198)  1 Ge 1.74
O (0.8397, 0.4036, 0.1095)  1 Ge 1.78
O (0.9488, 0.7901, 0.3198)  1 Ge 1.74

Results
Formation energy (no corrections) in eV per atom: -1.703
Spin magnetization in μB/cell: 0.00
Theoretical density in g/cm³: 5.52